P) Sc2OsWO (PBE with a Hubbard U, optimized geometry); Fermi-level density of states = 0.846 states/eV per atom; density = 6.306 g/cm³
1.0
5.2221 0.0000 0.0000
0.0000 5.2221 0.0000
0.0000 0.0000 4.6351
Sc Os W O
2 1 1 1
Direct
0.0000 0.5000 0.0000 Sc
0.5000 0.0000 0.0000 Sc
0.0000 0.0000 0.5000 Os
0.0000 0.0000 0.0000 W
0.5000 0.5000 0.5000 O

=====

Q) Sc2OsWO (PBE with a Hubbard U, optimized geometry); Fermi-level density of states = 0.772 states/eV per atom; density = 7.686 g/cm³
1.0
5.2788 0.0000 0.0000
0.0000 5.2788 0.0000
0.0000 0.0000 3.7216
Sc Os W O
2 1 1 1
Direct
0.0000 0.5000 0.0000 Sc
0.5000 0.0000 0.0000 Sc
0.0000 0.0000 0.5000 Os
0.5000 0.5000 0.0000 W
0.5000 0.5000 0.5000 O

=====

Most stable = Q)